The following is a DFT calculation (PBE) of crystalline TlHgRh2 at its relaxed geometry.

Unit cell a=4.6752 b=4.6752 c=4.6752 alpha=60.00 beta=60.00 gamma=60.00
Closest atoms and distances in Å follow each position.
Fractional coordinates of all 4 atoms:
Hg (0.5000, 0.5000, 0.5000)  4 Rh 2.86, 4 Tl 2.86
Tl (0.2500, 0.2500, 0.2500)  4 Hg 2.86, 4 Rh 2.86
Rh (0.7500, 0.7500, 0.7500)  4 Hg 2.86, 4 Rh 2.86
Rh (0.0000, 0.0000, 0.0000)  4 Tl 2.86, 4 Rh 2.86

Summary:
Magnetization (μB per cell): 0.391
Energy of formation (eV per atom): 0.38
Symmetry: F-43m, No. 216
Calculated total energy (eV/atom): -3.965